# 1
A plane-wave DFT calculation with GGA-PBE was carried out for ThTc12P6 after structural relaxation.

The structure belongs to space group R-3m (No. 166, hexagonal axes); the cell edges are 10.8175, 10.8175 and 8.5943 Å and the angles 90.00°, 90.00° and 120.00°. The distinct sites, in fractional coordinates, are Th at (0.0000, 0.0000, 0.0000), Tc at (0.0000, 0.3657, 0.5000), Tc at (0.0897, 0.1793, 0.3620) and P at (0.0350, 0.5175, 0.2836).

The value obtained for the formation energy from the elements is -10.47 kcal/mol of atoms. As for the volume: 15.28 A^3/atom.



# 2
A plane-wave DFT calculation with GGA-PBE was carried out for ZrTc2Ru after structural relaxation.

The structure belongs to space group Imm2 (No. 44); the cell edges are 3.1468, 4.5912 and 8.9099 Å and the angles 90.00°, 90.00° and 90.00°. The distinct sites, in fractional coordinates, are Zr at (0.0000, 0.0000, 0.0000), Tc at (0.0000, 0.0000, 0.5097), Tc at (0.0000, 0.5000, 0.2452) and Ru at (0.0000, 0.5000, 0.7572).

The value obtained for the formation energy from the elements is -0.14 kcal/mol of atoms. As for the volume: 16.09 A^3/atom. The distance to the lowest polymorph of the same formula comes out at 55 meV per atom.



# 3
A plane-wave DFT calculation with GGA-PBE was carried out for HgB2Cl after structural relaxation.

The structure belongs to space group I-42d (No. 122); the cell edges are 5.3144, 5.3144 and 10.2999 Å and the angles 90.00°, 90.00° and 90.00°. The distinct sites, in fractional coordinates, are Hg at (0.0000, 0.0000, 0.0000), B at (0.2399, 0.2500, 0.1250) and Cl at (0.0000, 0.0000, 0.5000).

As for the volume: 18.18 A^3/atom. The energy relative to the elements, uncorrected is 1.4355 eV per atom. The distance to the lowest polymorph of the same formula comes out at 0 meV per atom.



# 4
A plane-wave DFT calculation with GGA-PBE was carried out for LaPmAgBr after structural relaxation.

The structure belongs to space group F-43m (No. 216); the cell edges are 7.5750, 7.5750 and 7.5750 Å and the angles 90.00°, 90.00° and 90.00°. The distinct sites, in fractional coordinates, are La at (0.0000, 0.0000, 0.0000), Pm at (0.0000, 0.0000, 0.5000), Ag at (0.2500, 0.2500, 0.7500) and Br at (0.2500, 0.2500, 0.2500).

As for the volume: 27.17 A^3/atom. The energy relative to the elements, uncorrected is -0.5296 eV per atom.



Calculated D(E_F) in order - 54.60, 10.03, 7.09, 20.33 states/eV/cell